# 1
Below is a relaxed TaZnTc2 crystal, with properties calculated at the PBE level.

Results
D(E_F)   1.071 states/eV per atom
Symmetry   I-4m2 (119)
Energy of formation   0.09 eV/f.u.

The structure in CIF format:
```
data_TaZnTc2
_chemical_formula_sum 'Ta2 Zn2 Tc4'
_cell_length_a 3.845
_cell_length_b 3.845
_cell_length_c 8.261
_cell_angle_alpha 90.00
_cell_angle_beta 90.00
_cell_angle_gamma 90.00
_symmetry_space_group_name_H-M 'P 1'
_symmetry_Int_Tables_number 1
loop_
_symmetry_equiv_pos_as_xyz
'x,y,z'
loop_
_atom_site_label
_atom_site_fract_x
_atom_site_fract_y
_atom_site_fract_z
Ta1 0.000 0.000 0.000
Ta2 0.500 0.500 0.500
Zn1 0.000 0.500 0.250
Zn2 0.500 0.000 0.750
Tc1 0.000 0.000 0.500
Tc2 0.000 0.500 0.750
Tc3 0.500 0.000 0.250
Tc4 0.500 0.500 0.000
```

***

# 2
Below is a relaxed TaZn2Tc crystal, with properties calculated at the PBE level.

Results
D(E_F)   0.454 states/eV per atom
Energy above the most stable polymorph in this dataset   0.099 eV per atom
Symmetry   Cm (8)
Energy of formation   0.26 eV/f.u.

The structure in CIF format:
```
data_TaZn2Tc
_chemical_formula_sum 'Ta2 Zn4 Tc2'
_cell_length_a 9.315
_cell_length_b 2.691
_cell_length_c 4.965
_cell_angle_alpha 90.00
_cell_angle_beta 96.92
_cell_angle_gamma 90.00
_symmetry_space_group_name_H-M 'P 1'
_symmetry_Int_Tables_number 1
loop_
_symmetry_equiv_pos_as_xyz
'x,y,z'
loop_
_atom_site_label
_atom_site_fract_x
_atom_site_fract_y
_atom_site_fract_z
Ta1 0.000 0.000 0.000
Ta2 0.500 0.500 0.000
Zn1 0.001 0.500 0.500
Zn2 0.250 0.500 0.279
Zn3 0.501 0.000 0.500
Zn4 0.750 0.000 0.279
Tc1 0.244 0.000 0.773
Tc2 0.744 0.500 0.773
```

***

# 3
Below is a relaxed TaZnTc2 crystal, with properties calculated at the PBE level.

Results
D(E_F)   0.713 states/eV per atom
Symmetry   P2/m (10)
Energy of formation   0.04 eV/f.u.

The structure in CIF format:
```
data_TaZnTc2
_chemical_formula_sum 'Ta1 Zn1 Tc2'
_cell_length_a 2.717
_cell_length_b 4.357
_cell_length_c 5.283
_cell_angle_alpha 90.00
_cell_angle_beta 99.09
_cell_angle_gamma 90.00
_symmetry_space_group_name_H-M 'P 1'
_symmetry_Int_Tables_number 1
loop_
_symmetry_equiv_pos_as_xyz
'x,y,z'
loop_
_atom_site_label
_atom_site_fract_x
_atom_site_fract_y
_atom_site_fract_z
Ta1 0.000 0.000 0.000
Zn1 0.500 0.000 0.500
Tc1 0.217 0.500 0.740
Tc2 0.783 0.500 0.260
```

***

# 4
Below is a relaxed TaZn2Tc crystal, with properties calculated at the PBE level.

Results
D(E_F)   0.454 states/eV per atom
Energy above the most stable polymorph in this dataset   0.117 eV per atom
Symmetry   F-43m (216)
Energy of formation   0.33 eV/f.u.

The structure in CIF format:
```
data_TaZn2Tc
_chemical_formula_sum 'Ta4 Zn8 Tc4'
_cell_length_a 6.268
_cell_length_b 6.268
_cell_length_c 6.268
_cell_angle_alpha 90.00
_cell_angle_beta 90.00
_cell_angle_gamma 90.00
_symmetry_space_group_name_H-M 'P 1'
_symmetry_Int_Tables_number 1
loop_
_symmetry_equiv_pos_as_xyz
'x,y,z'
loop_
_atom_site_label
_atom_site_fract_x
_atom_site_fract_y
_atom_site_fract_z
Ta1 0.000 0.000 0.000
Ta2 0.000 0.500 0.500
Ta3 0.500 0.000 0.500
Ta4 0.500 0.500 0.000
Zn1 0.000 0.000 0.500
Zn2 0.000 0.500 0.000
Zn3 0.250 0.250 0.750
Zn4 0.250 0.750 0.250
Zn5 0.500 0.000 0.000
Zn6 0.500 0.500 0.500
Zn7 0.750 0.250 0.250
Zn8 0.750 0.750 0.750
Tc1 0.250 0.250 0.250
Tc2 0.250 0.750 0.750
Tc3 0.750 0.250 0.750
Tc4 0.750 0.750 0.250
```

***

# 5
Below is a relaxed TaZnTc2 crystal, with properties calculated at the PBE level.

Results
D(E_F)   0.669 states/eV per atom
Symmetry   Pmm2 (25)
Energy of formation   -0.04 eV/f.u.

The structure in CIF format:
```
data_TaZnTc2
_chemical_formula_sum 'Ta1 Zn1 Tc2'
_cell_length_a 2.865
_cell_length_b 3.955
_cell_length_c 5.423
_cell_angle_alpha 90.00
_cell_angle_beta 90.00
_cell_angle_gamma 90.00
_symmetry_space_group_name_H-M 'P 1'
_symmetry_Int_Tables_number 1
loop_
_symmetry_equiv_pos_as_xyz
'x,y,z'
loop_
_atom_site_label
_atom_site_fract_x
_atom_site_fract_y
_atom_site_fract_z
Ta1 0.000 0.000 0.000
Zn1 0.500 0.500 0.739
Tc1 0.000 0.000 0.483
Tc2 0.500 0.500 0.256
```

***

# 6
Below is a relaxed TaZn2Tc2 crystal, with properties calculated at the PBE level.

Results
D(E_F)   1.190 states/eV per atom
Symmetry   P4/mbm (127)
Energy of formation   0.53 eV/f.u.

The structure in CIF format:
```
data_TaZn2Tc2
_chemical_formula_sum 'Ta2 Zn4 Tc4'
_cell_length_a 6.792
_cell_length_b 6.792
_cell_length_c 3.246
_cell_angle_alpha 90.00
_cell_angle_beta 90.00
_cell_angle_gamma 90.00
_symmetry_space_group_name_H-M 'P 1'
_symmetry_Int_Tables_number 1
loop_
_symmetry_equiv_pos_as_xyz
'x,y,z'
loop_
_atom_site_label
_atom_site_fract_x
_atom_site_fract_y
_atom_site_fract_z
Ta1 0.000 0.000 0.000
Ta2 0.500 0.500 0.000
Zn1 0.122 0.378 0.000
Zn2 0.378 0.878 0.000
Zn3 0.622 0.122 0.000
Zn4 0.878 0.622 0.000
Tc1 0.179 0.679 0.500
Tc2 0.321 0.179 0.500
Tc3 0.679 0.821 0.500
Tc4 0.821 0.321 0.500
```

***

# 7
Below is a relaxed TaZn2Tc crystal, with properties calculated at the PBE level.

Results
D(E_F)   0.554 states/eV per atom
Energy above the most stable polymorph in this dataset   0.083 eV per atom
Symmetry   Pmmm (47)
Energy of formation   0.19 eV/f.u.

The structure in CIF format:
```
data_TaZn2Tc
_chemical_formula_sum 'Ta1 Zn2 Tc1'
_cell_length_a 2.711
_cell_length_b 4.195
_cell_length_c 5.362
_cell_angle_alpha 90.00
_cell_angle_beta 90.00
_cell_angle_gamma 90.00
_symmetry_space_group_name_H-M 'P 1'
_symmetry_Int_Tables_number 1
loop_
_symmetry_equiv_pos_as_xyz
'x,y,z'
loop_
_atom_site_label
_atom_site_fract_x
_atom_site_fract_y
_atom_site_fract_z
Ta1 0.000 0.000 0.000
Zn1 0.500 0.500 0.260
Zn2 0.500 0.500 0.740
Tc1 0.000 0.000 0.500
```

***

# 8
Below is a relaxed TaZnTc2 crystal, with properties calculated at the PBE level.

Results
D(E_F)   1.238 states/eV per atom
Symmetry   F-43m (216)
Energy of formation   0.62 eV/f.u.

The structure in CIF format:
```
data_TaZnTc2
_chemical_formula_sum 'Ta4 Zn4 Tc8'
_cell_length_a 6.267
_cell_length_b 6.267
_cell_length_c 6.267
_cell_angle_alpha 90.00
_cell_angle_beta 90.00
_cell_angle_gamma 90.00
_symmetry_space_group_name_H-M 'P 1'
_symmetry_Int_Tables_number 1
loop_
_symmetry_equiv_pos_as_xyz
'x,y,z'
loop_
_atom_site_label
_atom_site_fract_x
_atom_site_fract_y
_atom_site_fract_z
Ta1 0.000 0.000 0.000
Ta2 0.000 0.500 0.500
Ta3 0.500 0.000 0.500
Ta4 0.500 0.500 0.000
Zn1 0.250 0.250 0.750
Zn2 0.250 0.750 0.250
Zn3 0.750 0.250 0.250
Zn4 0.750 0.750 0.750
Tc1 0.000 0.000 0.500
Tc2 0.000 0.500 0.000
Tc3 0.250 0.250 0.250
Tc4 0.250 0.750 0.750
Tc5 0.500 0.000 0.000
Tc6 0.500 0.500 0.500
Tc7 0.750 0.250 0.750
Tc8 0.750 0.750 0.250
```